[1]
Material: Y2Zr4Sn3N3
Method: DFT, PBE
State: optimized geometry

Output
Crystal system = monoclinic
E_tot = -8.141 eV/atom
V = 887 Å³/cell

Cell lengths 10.202, 5.892, 15.144 Å; angles 90.00, 103.07, 90.00 degrees
Space group C2/c (No. 15)
Asymmetric unit:
Y 0.049 0.081 0.406 (multiplicity 8)
Zr 0.111 0.413 0.581 (multiplicity 8)
Zr 0.224 0.419 0.919 (multiplicity 8)
Sn 0.000 0.452 0.250 (multiplicity 4)
Sn 0.185 0.101 0.751 (multiplicity 8)
N 0.085 0.255 0.000 (multiplicity 8)
N 0.250 0.250 0.500 (multiplicity 4)

***

[2]
Material: Ho4S3N
Method: DFT, PBE
State: optimized geometry

Output
Crystal system = tetragonal
E_tot = -6.708 eV/atom
V = 309 Å³/cell

Cell lengths 5.371, 5.371, 10.701 Å; angles 90.00, 90.00, 90.00 degrees
Space group I4/mmm (No. 139)
Asymmetric unit:
Ho 0.000 0.000 0.218 (multiplicity 4)
Ho 0.000 0.500 0.000 (multiplicity 4)
S 0.000 0.000 0.500 (multiplicity 2)
S 0.000 0.500 0.250 (multiplicity 4)
N 0.000 0.000 0.000 (multiplicity 2)